{
  "formula": "PuTa2O8",
  "functional": "PBE",
  "state": "optimized geometry",
  "formation_energy_uncorrected_ev_per_atom": -2.65,
  "crystal_system": "monoclinic",
  "final_energy_ev_per_atom": -9.71,
  "lattice": [[5.180, -0.175, -0.714], [-0.661, 5.276, 0.863], [-0.195, 1.036, 5.282]],
  "species": ["Pu", "Ta", "Ta", "O", "O", "O", "O", "O", "O", "O", "O"],
  "frac_coords": [[0.000, 0.000, 0.000], [0.474, 0.671, 0.671], [0.526, 0.329, 0.329], [0.303, 0.365, 0.956], [0.697, 0.044, 0.635], [0.207, 0.859, 0.859], [0.793, 0.141, 0.141], [0.303, 0.956, 0.365], [0.697, 0.635, 0.044], [0.738, 0.556, 0.556], [0.262, 0.444, 0.444]]
}